The following is a DFT calculation (PBE-GGA) of an optimized crystal structure of CsNa2ZnCd.

Output
Relative energy among the computed polymorphs   0 meV/atom
Energy relative to the elements   0.056 eV per atom

Cell: 6.0299 6.0299 5.2092 Å, 90.00 90.00 90.00°
Positions (direct):
Cs (0.0000, 0.0000, 0.0000)
Na (0.0000, 0.5000, 0.5000)
Na (0.5000, 0.0000, 0.5000)
Zn (0.5000, 0.5000, 0.5000)
Cd (0.5000, 0.5000, 0.0000)



The following is a DFT calculation (PBE-GGA) of an optimized crystal structure of TaMnCo2.

Output
Relative energy among the computed polymorphs   208 meV/atom
Energy relative to the elements   0.060 eV per atom

Cell: 2.6897 4.0473 4.9660 Å, 90.00 103.07 90.00°
Positions (direct):
Ta (0.0000, 0.0000, 0.0000)
Mn (0.2606, 0.5000, 0.7085)
Co (0.5152, 0.0000, 0.5020)
Co (0.7268, 0.5000, 0.2389)



The following is a DFT calculation (PBE-GGA) of an optimized crystal structure of SrGe2TeO8.

Output
Formation energy without anion corrections   -18.148 eV/f.u.

Cell: 5.4902 5.4902 7.1228 Å, 90.00 90.00 120.00°
Positions (direct):
Sr (0.0000, 0.0000, 0.0000)
Ge (0.3333, 0.6667, 0.2440)
Ge (0.6667, 0.3333, 0.7560)
Te (0.0000, 0.0000, 0.5000)
O (0.1556, 0.3113, 0.3254)
O (0.1556, 0.8444, 0.3254)
O (0.3113, 0.1556, 0.6746)
O (0.3333, 0.6667, 0.0064)
O (0.6667, 0.3333, 0.9936)
O (0.6887, 0.8444, 0.3254)
O (0.8444, 0.1556, 0.6746)
O (0.8444, 0.6887, 0.6746)



The following is a DFT calculation (PBE-GGA) of an optimized crystal structure of CuBiAs2Se.

Output
Formation energy without anion corrections   2.005 eV/f.u.
Relative energy among the computed polymorphs   0 meV/atom

Cell: 4.7209 4.7209 5.0195 Å, 90.00 90.00 90.00°
Positions (direct):
Cu (0.0000, 0.0000, 0.0000)
Bi (0.5000, 0.5000, 0.5000)
As (0.0000, 0.5000, 0.0000)
As (0.5000, 0.0000, 0.0000)
Se (0.0000, 0.0000, 0.5000)



The following is a DFT calculation (PBE-GGA) of an optimized crystal structure of Li2Mg2Ag.

Output
Relative energy among the computed polymorphs   131 meV/atom
Energy relative to the elements   -0.038 eV per atom

Cell: 6.7865 6.7865 4.0943 Å, 90.00 90.00 90.00°
Positions (direct):
Li (0.1333, 0.3667, 0.0000)
Li (0.3667, 0.8667, 0.0000)
Li (0.6333, 0.1333, 0.0000)
Li (0.8667, 0.6333, 0.0000)
Mg (0.1744, 0.6744, 0.5000)
Mg (0.3256, 0.1744, 0.5000)
Mg (0.6744, 0.8256, 0.5000)
Mg (0.8256, 0.3256, 0.5000)
Ag (0.0000, 0.0000, 0.0000)
Ag (0.5000, 0.5000, 0.0000)



The following is a DFT calculation (PBE-GGA) of an optimized crystal structure of CaVH.

Output
Relative energy among the computed polymorphs   915 meV/atom

Cell: 3.4986 3.4986 12.4299 Å, 90.00 90.00 120.00°
Positions (direct):
Ca (0.0000, 0.0000, 0.2500)
Ca (0.0000, 0.0000, 0.7500)
V (0.0000, 0.0000, 0.0000)
V (0.0000, 0.0000, 0.5000)
H (0.3333, 0.6667, 0.2500)
H (0.6667, 0.3333, 0.7500)



The following is a DFT calculation (PBE-GGA) of an optimized crystal structure of ZrOs.

Output
Energy relative to the elements   0.023 eV per atom

Cell: 3.1596 3.1596 8.4824 Å, 90.00 90.00 120.00°
Positions (direct):
Zr (0.0000, 0.0000, 0.0000)
Zr (0.0000, 0.0000, 0.5000)
Os (0.3333, 0.6667, 0.2500)
Os (0.6667, 0.3333, 0.7500)



The following is a DFT calculation (PBE-GGA) of an optimized crystal structure of ZnPH2F.

Cell: 3.2954 3.2954 5.8791 Å, 90.00 90.00 90.00°
Positions (direct):
Zn (0.0000, 0.0000, 0.0000)
P (0.5000, 0.5000, 0.0000)
H (0.0000, 0.5000, 0.5000)
H (0.5000, 0.0000, 0.5000)
F (0.0000, 0.0000, 0.5000)



The following is a DFT calculation (PBE-GGA) of an optimized crystal structure of YP2OsCl.

Output
Formation energy without anion corrections   -0.219 eV/f.u.
Relative energy among the computed polymorphs   0 meV/atom

Cell: 4.5731 4.5731 4.9991 Å, 90.00 90.00 90.00°
Positions (direct):
Y (0.0000, 0.0000, 0.0000)
P (0.0000, 0.5000, 0.5000)
P (0.5000, 0.0000, 0.5000)
Os (0.5000, 0.5000, 0.5000)
Cl (0.5000, 0.5000, 0.0000)



The following is a DFT calculation (PBE-GGA) of an optimized crystal structure of La2AgGe2.

Output
Relative energy among the computed polymorphs   0 meV/atom
Energy relative to the elements   -0.693 eV per atom

Cell: 6.1085 6.1085 10.9396 Å, 115.94 115.94 43.90°
Positions (direct):
La (0.0075, 0.0075, 0.3261)
La (0.1870, 0.1870, 0.1024)
La (0.8130, 0.8130, 0.8976)
La (0.9925, 0.9925, 0.6739)
Ag (0.2759, 0.2759, 0.6425)
Ag (0.7241, 0.7241, 0.3575)
Ge (0.3686, 0.3686, 0.4310)
Ge (0.4822, 0.4822, 0.1125)
Ge (0.5178, 0.5178, 0.8875)
Ge (0.6314, 0.6314, 0.5690)



The following is a DFT calculation (PBE-GGA) of an optimized crystal structure of AcSmCd2Au4.

Output
Energy relative to the elements   -0.639 eV per atom

Cell: 9.4726 9.4726 9.4726 Å, 30.26 30.26 30.26°
Positions (direct):
Ac (0.0000, 0.0000, 0.0000)
Sm (0.5000, 0.5000, 0.5000)
Cd (0.2430, 0.2430, 0.2430)
Cd (0.7570, 0.7570, 0.7570)
Au (0.1224, 0.1224, 0.1224)
Au (0.3892, 0.3892, 0.3892)
Au (0.6108, 0.6108, 0.6108)
Au (0.8776, 0.8776, 0.8776)



The following is a DFT calculation (PBE-GGA) of an optimized crystal structure of Nd2Tm6Tl.

Output
Energy relative to the elements   0.002 eV per atom

Cell: 9.5316 9.5316 9.5316 Å, 158.95 115.88 68.30°
Positions (direct):
Nd (0.1518, 0.1518, 0.0000)
Nd (0.8482, 0.8482, 0.0000)
Tm (0.1604, 0.8228, 0.3375)
Tm (0.2026, 0.5000, 0.7026)
Tm (0.4853, 0.8228, 0.6625)
Tm (0.5147, 0.1772, 0.3375)
Tm (0.7974, 0.5000, 0.2974)
Tm (0.8396, 0.1772, 0.6625)
Tl (0.5000, 0.0000, 0.5000)



Number 1: total magnetization 0.00 μB per cell, energy -0.079 Ry per atom. Number 2: total magnetization 4.94 μB per cell, energy -0.643 Ry per atom. Number 3: total magnetization 0.00 μB per cell, energy -0.440 Ry per atom. Number 4: total magnetization 0.00 μB per cell, energy -0.276 Ry per atom. Number 5: total magnetization 0.00 μB per cell, energy -0.148 Ry per atom. Number 6: total magnetization 8.65 μB per cell, energy -0.294 Ry per atom. Number 7: total magnetization 0.00 μB per cell, energy -0.725 Ry per atom. Number 8: total magnetization 0.09 μB per cell, energy -0.188 Ry per atom. Number 9: total magnetization 0.00 μB per cell, energy -0.450 Ry per atom. Number 10: total magnetization 1.53 μB per cell, energy -0.373 Ry per atom. Number 11: total magnetization 0.00 μB per cell, energy -0.265 Ry per atom. Number 12: total magnetization 0.00 μB per cell, energy -0.316 Ry per atom.